VASP calculation (GGA-PBE) on an optimized crystal structure of NaIn3O.

POSCAR file:
```
NaIn3O
1.0
-0.353 4.313 2.445
-2.603 -2.247 3.589
4.220 -1.026 2.419
Na O In
1 1 3
Direct
0.500 0.500 0.500
0.000 0.000 0.000
0.000 0.000 0.500
0.500 0.000 0.000
0.000 0.500 0.000
```

Formation energy without anion corrections in eV/atom: -0.245
Excess energy over the best structure of this formula in the dataset in eV per atom: 0.000
Raw total energy in eV per formula unit: -15.7
Magnetic moment in μB per cell: 0.00
Symmetry: Pm-3m, No. 221
DOS(E_F) in states/eV/f.u.: 2.1
Crystal system: cubic